DFT (PBE) results for crystalline Tb2TlS at its relaxed geometry.

a b c (Å): 3.8543 3.8543 8.2612
angles (deg): 76.51 76.51 60.00
With the nearest neighbours (Å) after each atom.
Atoms (fractional coordinates):
S (0.0000, 0.0000, 0.0000)  6 Tb 2.75
Tl (0.5000, 0.5000, 0.5000)  6 Tb 3.25
Tb (0.2660, 0.2660, 0.2021)  3 S 2.75
Tb (0.7340, 0.7340, 0.7979)  3 S 2.75

Results
Relative energy among the computed polymorphs: 0.00 kJ per mole of atoms
DOS at the Fermi energy: 1.55 states/eV per cell
Space group: R-3m

***

DFT (PBE) results for crystalline TbTlS2 at its relaxed geometry.

a b c (Å): 4.0377 4.0377 7.9683
angles (deg): 75.32 75.32 60.00
With the nearest neighbours (Å) after each atom.
Atoms (fractional coordinates):
S (0.2689, 0.2689, 0.1933)  3 Tb 2.76
Tl (0.4970, 0.4970, 0.5089)  6 S 3.21-3.35
Tb (0.6671, 0.6671, 0.9988)  6 S 2.76-2.78
S (0.0670, 0.0670, 0.7990)  3 Tb 2.78

Results
DOS at the Fermi energy: 0.00 states/eV per cell
Space group: R3m
Total DFT energy (no corrections): -5.2824 eV per atom

***

DFT (PBE) results for crystalline TbTl5S4 at its relaxed geometry.

a b c (Å): 4.0936 8.5249 9.4698
angles (deg): 72.47 102.48 90.00
With the nearest neighbours (Å) after each atom.
Atoms (fractional coordinates):
Tl (0.1829, 0.6938, 0.3659)  3 S 2.87-2.95
S (0.0204, 0.7693, 0.0408)  2 Tb 2.78, 1 Tl 2.87
Tl (0.5000, 0.5000, 0.0000)  4 S 3.18
S (0.9796, 0.2307, 0.9592)  2 Tb 2.78, 1 Tl 2.87
S (0.3440, 0.0454, 0.6880)  1 Tb 2.79, 4 Tl 2.88-2.95
Tl (0.1578, 0.1917, 0.3155)  3 S 2.88-3.21
Tl (0.8171, 0.3062, 0.6341)  3 S 2.87-2.95
Tb (0.5000, 0.0000, 0.0000)  6 S 2.78-2.79
Tl (0.8422, 0.8083, 0.6845)  3 S 2.88-3.21
S (0.6560, 0.9546, 0.3120)  1 Tb 2.79, 4 Tl 2.88-2.95

Results
Space group: C2/m
Total DFT energy (no corrections): -4.0880 eV per atom

***

> Which formula does entry 1 have?

Tb2TlS

***

> Number 3 is which compound?

TbTl5S4